No. 1
Below is a relaxed structure of TaGaO3, with properties calculated at the PBE level.

Properties
* SG: R-3c, No. 167
* V: 56 Å³/f.u.
* crystal system: trigonal

Unit cell a=5.055 b=5.055 c=5.055 alpha=71.57 beta=71.57 gamma=71.57
Sites, in units of the cell vectors:
Ta1 0.250 0.250 0.250
Ta2 0.750 0.750 0.750
Ga1 0.000 0.000 0.000
Ga2 0.500 0.500 0.500
O1 0.075 0.750 0.425
O2 0.250 0.575 0.925
O3 0.425 0.075 0.750
O4 0.575 0.925 0.250
O5 0.750 0.425 0.075
O6 0.925 0.250 0.575

No. 2
Below is a relaxed structure of LaAgSnTe3, with properties calculated at the PBE level.

Properties
* SG: Cmcm, No. 63
* polymorph energy (0 for the lowest one): 0.000 eV per atom
* V: 189 Å³/f.u.
* crystal system: orthorhombic

Unit cell a=7.743 b=7.743 c=11.585 alpha=90.00 beta=90.00 gamma=147.01
Sites, in units of the cell vectors:
La1 0.000 0.000 0.000
La2 0.000 0.000 0.500
Ag1 0.475 0.525 0.750
Ag2 0.525 0.475 0.250
Sn1 0.231 0.769 0.250
Sn2 0.769 0.231 0.750
Te1 0.098 0.902 0.750
Te2 0.349 0.651 0.568
Te3 0.349 0.651 0.932
Te4 0.651 0.349 0.068
Te5 0.651 0.349 0.432
Te6 0.902 0.098 0.250

No. 3
Below is a relaxed structure of LaSmTl2Cd2, with properties calculated at the PBE level.

Properties
* SG: P3m1, No. 156
* V: 165 Å³/f.u.
* crystal system: trigonal

Unit cell a=4.973 b=4.973 c=7.720 alpha=90.00 beta=90.00 gamma=120.00
Sites, in units of the cell vectors:
La1 0.000 0.000 0.000
Sm1 0.000 0.000 0.500
Tl1 0.333 0.667 0.703
Tl2 0.667 0.333 0.213
Cd1 0.333 0.667 0.296
Cd2 0.667 0.333 0.783

No. 4
Below is a relaxed structure of NdMoPt, with properties calculated at the PBE level.

Properties
* SG: F-43m, No. 216
* V: 74 Å³/f.u.
* energy of formation: 0.29 eV per atom
* crystal system: cubic

Unit cell a=4.704 b=4.704 c=4.704 alpha=60.00 beta=60.00 gamma=60.00
Sites, in units of the cell vectors:
Nd1 0.000 0.000 0.000
Mo1 0.500 0.500 0.500
Pt1 0.750 0.750 0.750

No. 5
Below is a relaxed structure of YNbAu, with properties calculated at the PBE level.

Properties
* SG: F-43m, No. 216
* polymorph energy (0 for the lowest one): 0.555 eV per atom
* V: 76 Å³/f.u.
* energy of formation: 0.81 eV per atom
* crystal system: cubic

Unit cell a=4.763 b=4.763 c=4.763 alpha=60.00 beta=60.00 gamma=60.00
Sites, in units of the cell vectors:
Y1 0.000 0.000 0.000
Nb1 0.250 0.250 0.250
Au1 0.750 0.750 0.750

No. 6
Below is a relaxed structure of AcInPd, with properties calculated at the PBE level.

Properties
* SG: F-43m, No. 216
* polymorph energy (0 for the lowest one): 0.790 eV per atom
* V: 99 Å³/f.u.
* crystal system: cubic

Unit cell a=5.196 b=5.196 c=5.196 alpha=60.00 beta=60.00 gamma=60.00
Sites, in units of the cell vectors:
Ac1 0.000 0.000 0.000
In1 0.750 0.750 0.750
Pd1 0.250 0.250 0.250

No. 7
Below is a relaxed structure of USiMo, with properties calculated at the PBE level.

Properties
* SG: F-43m, No. 216
* V: 63 Å³/f.u.
* crystal system: cubic

Unit cell a=4.464 b=4.464 c=4.464 alpha=60.00 beta=60.00 gamma=60.00
Sites, in units of the cell vectors:
U1 0.000 0.000 0.000
Si1 0.250 0.250 0.250
Mo1 0.750 0.750 0.750

No. 8
Below is a relaxed structure of PrInB4, with properties calculated at the PBE level.

Properties
* SG: P6/mmm, No. 191
* polymorph energy (0 for the lowest one): 0.144 eV per atom
* V: 73 Å³/f.u.
* crystal system: hexagonal

Unit cell a=3.238 b=3.238 c=8.084 alpha=90.00 beta=90.00 gamma=120.00
Sites, in units of the cell vectors:
Pr1 0.000 0.000 0.000
In1 0.000 0.000 0.500
B1 0.333 0.667 0.266
B2 0.333 0.667 0.734
B3 0.667 0.333 0.266
B4 0.667 0.333 0.734

No. 9
Below is a relaxed structure of GaAg8, with properties calculated at the PBE level.

Properties
* SG: C2/m, No. 12
* V: 293 Å³/f.u.
* crystal system: monoclinic

Unit cell a=5.051 b=5.051 c=30.895 alpha=90.27 beta=90.27 gamma=47.97
Sites, in units of the cell vectors:
Ga1 0.051 0.051 0.249
Ga2 0.949 0.949 0.751
Ag1 0.050 0.050 0.546
Ag2 0.147 0.147 0.638
Ag3 0.154 0.154 0.334
Ag4 0.251 0.251 0.424
Ag5 0.252 0.252 0.732
Ag6 0.351 0.351 0.516
Ag7 0.447 0.447 0.300
Ag8 0.450 0.450 0.607
Ag9 0.550 0.550 0.393
Ag10 0.553 0.553 0.700
Ag11 0.649 0.649 0.484
Ag12 0.748 0.748 0.268
Ag13 0.749 0.749 0.576
Ag14 0.846 0.846 0.666
Ag15 0.853 0.853 0.362
Ag16 0.950 0.950 0.454

No. 10
Below is a relaxed structure of CdTeAu, with properties calculated at the PBE level.

Properties
* SG: F-43m, No. 216
* polymorph energy (0 for the lowest one): 0.148 eV per atom
* V: 79 Å³/f.u.
* crystal system: cubic

Unit cell a=4.823 b=4.823 c=4.823 alpha=60.00 beta=60.00 gamma=60.00
Sites, in units of the cell vectors:
Cd1 0.000 0.000 0.000
Te1 0.250 0.250 0.250
Au1 0.750 0.750 0.750

No. 11
Below is a relaxed structure of TmTcPO, with properties calculated at the PBE level.

Properties
* SG: Pmc2_1, No. 26
* polymorph energy (0 for the lowest one): 0.635 eV per atom
* V: 66 Å³/f.u.
* crystal system: orthorhombic

Unit cell a=4.024 b=5.961 c=5.485 alpha=90.00 beta=90.00 gamma=90.00
Sites, in units of the cell vectors:
Tm1 0.000 0.170 0.000
Tm2 0.000 0.830 0.500
Tc1 0.500 0.461 0.757
Tc2 0.500 0.539 0.257
P1 0.000 0.317 0.515
P2 0.000 0.683 0.015
O1 0.500 0.240 0.061
O2 0.500 0.760 0.561

No. 12
Below is a relaxed structure of LaErCu2, with properties calculated at the PBE level.

Properties
* SG: Pmn2_1, No. 31
* polymorph energy (0 for the lowest one): 0.000 eV per atom
* V: 90 Å³/f.u.
* energy of formation: -0.22 eV per atom
* crystal system: orthorhombic

Unit cell a=4.527 b=7.298 c=5.453 alpha=90.00 beta=90.00 gamma=90.00
Sites, in units of the cell vectors:
La1 0.000 0.072 0.000
La2 0.500 0.928 0.500
Er1 0.000 0.567 0.238
Er2 0.500 0.433 0.738
Cu1 0.000 0.240 0.500
Cu2 0.000 0.695 0.750
Cu3 0.500 0.305 0.250
Cu4 0.500 0.760 0.000

No. 13
Below is a relaxed structure of CsNdInSe3, with properties calculated at the PBE level.

Properties
* SG: Cmcm, No. 63
* polymorph energy (0 for the lowest one): 0.000 eV per atom
* V: 216 Å³/f.u.
* crystal system: orthorhombic

Unit cell a=8.224 b=8.224 c=11.443 alpha=90.00 beta=90.00 gamma=145.99
Sites, in units of the cell vectors:
Cs1 0.247 0.753 0.750
Cs2 0.753 0.247 0.250
Nd1 0.500 0.500 0.000
Nd2 0.500 0.500 0.500
In1 0.017 0.983 0.250
In2 0.983 0.017 0.750
Se1 0.117 0.883 0.056
Se2 0.117 0.883 0.444
Se3 0.437 0.563 0.250
Se4 0.563 0.437 0.750
Se5 0.883 0.117 0.556
Se6 0.883 0.117 0.944

No. 14
Below is a relaxed structure of LiGdSeO, with properties calculated at the PBE level.

Properties
* SG: P2_1, No. 4
* polymorph energy (0 for the lowest one): 0.096 eV per atom
* V: 77 Å³/f.u.
* crystal system: monoclinic

Unit cell a=5.578 b=5.568 c=10.175 alpha=90.00 beta=102.59 gamma=90.00
Sites, in units of the cell vectors:
Li1 0.047 0.000 0.082
Li2 0.427 0.876 0.922
Li3 0.573 0.376 0.078
Li4 0.953 0.500 0.918
Gd1 0.049 0.277 0.613
Gd2 0.451 0.278 0.387
Gd3 0.549 0.778 0.613
Gd4 0.951 0.777 0.387
Se1 0.037 0.446 0.170
Se2 0.469 0.443 0.828
Se3 0.531 0.943 0.172
Se4 0.963 0.946 0.830
O1 0.250 0.031 0.500
O2 0.250 0.533 0.500
O3 0.750 0.033 0.500
O4 0.750 0.531 0.500

No. 15
Below is a relaxed structure of HoZrZn2In, with properties calculated at the PBE level.

Properties
* SG: Amm2, No. 38
* V: 103 Å³/f.u.
* crystal system: orthorhombic

Unit cell a=3.339 b=7.356 c=7.356 alpha=34.68 beta=90.00 gamma=90.00
Sites, in units of the cell vectors:
Ho1 0.000 0.000 0.000
Zr1 0.000 0.246 0.246
Zn1 0.500 0.415 0.415
Zn2 0.500 0.821 0.821
In1 0.500 0.626 0.626

No. 16
Below is a relaxed structure of HfZr3, with properties calculated at the PBE level.

Properties
* SG: Pmmn, No. 59
* polymorph energy (0 for the lowest one): 0.001 eV per atom
* V: 92 Å³/f.u.
* energy of formation: 0.00 eV per atom
* crystal system: orthorhombic

Unit cell a=5.146 b=6.440 c=5.580 alpha=90.00 beta=90.00 gamma=90.00
Sites, in units of the cell vectors:
Hf1 0.250 0.250 0.168
Hf2 0.750 0.750 0.832
Zr1 0.250 0.000 0.667
Zr2 0.250 0.500 0.667
Zr3 0.250 0.750 0.164
Zr4 0.750 0.000 0.333
Zr5 0.750 0.250 0.836
Zr6 0.750 0.500 0.333

No. 17
Below is a relaxed structure of NaNdHg, with properties calculated at the PBE level.

Properties
* SG: F-43m, No. 216
* polymorph energy (0 for the lowest one): 0.021 eV per atom
* V: 99 Å³/f.u.
* crystal system: cubic

Unit cell a=5.192 b=5.192 c=5.192 alpha=60.00 beta=60.00 gamma=60.00
Sites, in units of the cell vectors:
Na1 0.000 0.000 0.000
Nd1 0.750 0.750 0.750
Hg1 0.500 0.500 0.500

No. 18
Below is a relaxed structure of TmPb, with properties calculated at the PBE level.

Properties
* SG: P6_3/mmc, No. 194
* V: 60 Å³/f.u.
* crystal system: hexagonal

Unit cell a=4.256 b=4.256 c=7.712 alpha=90.00 beta=90.00 gamma=120.00
Sites, in units of the cell vectors:
Tm1 0.000 0.000 0.000
Tm2 0.000 0.000 0.500
Pb1 0.333 0.667 0.250
Pb2 0.667 0.333 0.750

No. 19
Below is a relaxed structure of PaZn, with properties calculated at the PBE level.

Properties
* SG: F-43m, No. 216
* V: 64 Å³/f.u.
* energy of formation: 1.47 eV per atom
* crystal system: cubic

Unit cell a=4.489 b=4.489 c=4.489 alpha=60.00 beta=60.00 gamma=60.00
Sites, in units of the cell vectors:
Pa1 0.000 0.000 0.000
Zn1 0.750 0.750 0.750

No. 20
Below is a relaxed structure of DyTlCdTe3, with properties calculated at the PBE level.

Properties
* SG: Cmcm, No. 63
* polymorph energy (0 for the lowest one): 0.000 eV per atom
* V: 202 Å³/f.u.
* crystal system: orthorhombic

Unit cell a=8.069 b=8.069 c=11.704 alpha=90.00 beta=90.00 gamma=147.93
Sites, in units of the cell vectors:
Dy1 0.000 0.000 0.000
Dy2 0.000 0.000 0.500
Tl1 0.241 0.759 0.750
Tl2 0.759 0.241 0.250
Cd1 0.462 0.538 0.250
Cd2 0.538 0.462 0.750
Te1 0.080 0.920 0.250
Te2 0.364 0.636 0.048
Te3 0.364 0.636 0.452
Te4 0.636 0.364 0.548
Te5 0.636 0.364 0.952
Te6 0.920 0.080 0.750

E (hartree per atom)
-0.2762, -0.1567, -0.1131, -0.2546, -0.2132, -0.1458, -0.3024, -0.2031, -0.1014, -0.0879, -0.2792, -0.1636, -0.1596, -0.2224, -0.1480, -0.3270, -0.0688, -0.1586, -0.1438, -0.1359